(1)
Computed, not measured: an optimized crystal structure of Pm2Be2Os2C at the PBE-GGA level of DFT.

a = 3.887 Å, b = 5.681 Å, c = 6.042 Å
α = 72.62°, β = 71.24°, γ = 69.99°
Fractional coordinates of all 7 atoms:
1 Os 0.206 0.669 0.919
2 Os 0.794 0.331 0.081
3 Pm 0.422 0.838 0.318
4 Pm 0.578 0.162 0.682
5 Be 0.855 0.592 0.697
6 Be 0.145 0.408 0.303
7 C 0.000 0.000 0.000

Computed properties:
E_tot: -7.184 eV/atom
Formation energy: -0.24 eV per atom

(2)
Computed, not measured: an optimized crystal structure of SmDy4S6 at the PBE-GGA level of DFT.

a = 3.856 Å, b = 6.718 Å, c = 19.869 Å
α = 90.00°, β = 90.00°, γ = 106.68°
Fractional coordinates of all 22 atoms:
1 S 0.049 0.098 0.166
2 S 0.231 0.462 0.911
3 S 0.231 0.462 0.589
4 S 0.049 0.098 0.334
5 S 0.500 0.000 0.000
6 S 0.951 0.902 0.666
7 S 0.769 0.538 0.089
8 S 0.951 0.902 0.834
9 S 0.311 0.623 0.250
10 S 0.500 0.000 0.500
11 S 0.769 0.538 0.411
12 S 0.689 0.377 0.750
13 Dy 0.592 0.183 0.627
14 Dy 0.139 0.277 0.040
15 Dy 0.592 0.183 0.873
16 Dy 0.408 0.817 0.373
17 Dy 0.861 0.723 0.540
18 Dy 0.861 0.723 0.960
19 Dy 0.408 0.817 0.127
20 Dy 0.139 0.277 0.460
21 Sm 0.347 0.694 0.750
22 Sm 0.653 0.306 0.250

Computed properties:
Energy relative to the elements, uncorrected: -2.05 eV per atom
E_tot: -6.400 eV/atom

(3)
Computed, not measured: an optimized crystal structure of Ba2TlAg at the PBE-GGA level of DFT.

a = 5.963 Å, b = 5.963 Å, c = 5.963 Å
α = 60.00°, β = 60.00°, γ = 60.00°
Fractional coordinates of all 4 atoms:
1 Tl 0.500 0.500 0.500
2 Ba 0.750 0.750 0.750
3 Ba 0.250 0.250 0.250
4 Ag 0.000 0.000 0.000

Computed properties:
ΔE to the lowest computed polymorph: 0.022 eV/atom
E_tot: -2.557 eV/atom
Formation energy: -0.29 eV per atom

(4)
Computed, not measured: an optimized crystal structure of YTe2IN at the PBE-GGA level of DFT.

a = 5.934 Å, b = 5.934 Å, c = 6.085 Å
α = 90.00°, β = 90.00°, γ = 90.00°
Fractional coordinates of all 5 atoms:
1 Te 0.000 0.500 0.000
2 Te 0.500 0.000 0.000
3 Y 0.000 0.000 0.000
4 N 0.500 0.500 0.500
5 I 0.000 0.000 0.500

Computed properties:
ΔE to the lowest computed polymorph: 0.467 eV/atom
Energy relative to the elements, uncorrected: 0.59 eV per atom
E_tot: -3.930 eV/atom

(5)
Computed, not measured: an optimized crystal structure of CaMoRu2 at the PBE-GGA level of DFT.

a = 3.125 Å, b = 4.898 Å, c = 4.350 Å
α = 90.00°, β = 90.00°, γ = 90.00°
Fractional coordinates of all 4 atoms:
1 Mo 0.000 0.500 0.500
2 Ru 0.500 0.500 0.000
3 Ru 0.000 0.000 0.000
4 Ca 0.500 0.000 0.500

Computed properties:
ΔE to the lowest computed polymorph: 0.499 eV/atom
E_tot: -7.199 eV/atom
Formation energy: 0.65 eV per atom

(6)
Computed, not measured: an optimized crystal structure of La2TbEr5Th at the PBE-GGA level of DFT.

a = 5.617 Å, b = 10.235 Å, c = 10.933 Å
α = 90.00°, β = 90.00°, γ = 105.92°
Fractional coordinates of all 18 atoms:
1 Er 0.519 0.038 0.237
2 Er 0.481 0.962 0.737
3 Er 0.299 0.598 0.709
4 Er 0.283 0.565 0.308
5 Er 0.717 0.435 0.808
6 Er 0.393 0.786 0.020
7 Er 0.607 0.214 0.520
8 Er 0.015 0.029 0.029
9 Er 0.701 0.402 0.209
10 Er 0.985 0.971 0.529
11 Th 0.582 0.164 0.963
12 Th 0.418 0.836 0.463
13 La 0.116 0.233 0.317
14 La 0.114 0.229 0.734
15 La 0.886 0.771 0.234
16 La 0.884 0.767 0.817
17 Tb 0.202 0.405 0.008
18 Tb 0.798 0.595 0.508

Computed properties:
E_tot: -4.804 eV/atom
Formation energy: 0.17 eV per atom